VASP calculation (PBE) on a relaxed structure of PmCdAg.

Results
E_tot = -3.073 eV/atom
ΔE_f = -233.6 meV per atom
SG = I4mm (107)

Cell: 3.818 3.818 5.704 Å, 109.55 109.55 90.00°
Each line ends with the local moment (μB).
Fractional positions:
Cd 0.604 0.604 0.207  0.00
Ag 0.962 0.962 0.924  0.00
Pm 0.284 0.284 0.569  0.09

VASP calculation (PBE) on a relaxed structure of CoC3.

Results
E_tot = -6.765 eV/atom
ΔE_f = 1929.3 meV per atom
SG = Immm (71)

Cell: 3.730 3.730 3.730 Å, 141.96 114.07 78.73°
Fractional positions:
C 0.818 0.818 0.000
C 0.000 0.500 0.500
C 0.182 0.182 0.000
Co 0.500 0.000 0.500

VASP calculation (PBE) on a relaxed structure of CdInTe2.

Results
energy relative to the elements, uncorrected = -0.273 eV per atom
E_tot = -2.757 eV/atom
SG = I-42d (122)

Cell: 6.796 6.796 8.409 Å, 66.17 66.17 90.00°
Fractional positions:
In 0.000 0.000 0.000
Te 0.375 0.389 0.750
Te 0.139 0.625 0.250
Te 0.875 0.861 0.750
Cd 0.500 0.500 0.000
Te 0.611 0.125 0.250
Cd 0.250 0.750 0.500
In 0.750 0.250 0.500

VASP calculation (PBE) on a relaxed structure of La5Ho2Sc.

Results
E_tot = -4.955 eV/atom
ΔE_f = 60.7 meV per atom
SG = C2/m (12)

Cell: 3.623 11.248 10.307 Å, 123.07 121.96 90.00°
Fractional positions:
La 0.889 0.356 0.260
Sc 0.000 0.000 0.000
La 0.000 0.500 0.000
La 0.111 0.644 0.740
Ho 0.235 0.745 0.489
La 0.111 0.096 0.740
La 0.889 0.904 0.260
Ho 0.765 0.255 0.511